DFT (PBE) results for PmAgBiAs after structural relaxation.

Formation energy from the elements in eV per atom: -0.321
SG: F-43m, No. 216

Unit cell a=5.191 b=5.191 c=5.191 alpha=60.00 beta=60.00 gamma=60.00
Sites, in units of the cell vectors:
Ag 0.250 0.250 0.250
Pm 0.000 0.000 0.000
Bi 0.500 0.500 0.500
As 0.750 0.750 0.750


DFT (PBE) results for Ag2BiAsS after structural relaxation.

SG: P4/mmm, No. 123

Unit cell a=4.867 b=5.193 c=4.867 alpha=90.00 beta=90.00 gamma=90.00
Sites, in units of the cell vectors:
Ag 0.000 0.000 0.500
Bi 0.500 0.500 0.500
S 0.000 0.500 0.000
As 0.000 0.000 0.000
Ag 0.500 0.000 0.000


DFT (PBE) results for Ag2BiAsS4 after structural relaxation.

SG: Imma, No. 74

Unit cell a=7.800 b=7.800 c=7.964 alpha=120.69 beta=120.69 gamma=89.66
Sites, in units of the cell vectors:
S 0.745 0.755 0.981
S 0.251 0.766 0.008
As 0.000 0.000 0.000
As 0.500 0.500 0.500
S 0.255 0.245 0.019
Ag 0.500 0.000 0.500
S 0.745 0.755 0.519
S 0.734 0.249 0.492
S 0.255 0.245 0.481
S 0.266 0.751 0.508
S 0.749 0.234 0.992
Ag 0.500 0.000 0.000
Ag 0.000 0.000 0.500
Bi 0.000 0.500 0.000
Ag 0.500 0.500 0.000
Bi 0.000 0.500 0.500


DFT (PBE) results for AgBiAs2Se after structural relaxation.

SG: P4/mmm, No. 123

Unit cell a=4.997 b=4.997 c=5.160 alpha=90.00 beta=90.00 gamma=90.00
Sites, in units of the cell vectors:
Bi 0.500 0.500 0.500
Ag 0.000 0.000 0.000
Se 0.000 0.000 0.500
As 0.000 0.500 0.000
As 0.500 0.000 0.000


DFT (PBE) results for AgBi2TeAs after structural relaxation.

SG: P4/mmm, No. 123

Unit cell a=5.886 b=5.314 c=5.886 alpha=90.00 beta=90.00 gamma=90.00
Sites, in units of the cell vectors:
As 0.000 0.500 0.000
Bi 0.500 0.000 0.000
Ag 0.500 0.500 0.500
Te 0.000 0.000 0.000
Bi 0.000 0.000 0.500


DFT (PBE) results for TiAg2BiAs after structural relaxation.

Formation energy from the elements in eV per atom: 0.978
SG: P4/mmm, No. 123

Unit cell a=5.215 b=5.342 c=5.215 alpha=90.00 beta=90.00 gamma=90.00
Sites, in units of the cell vectors:
Ag 0.000 0.000 0.500
Ag 0.500 0.000 0.000
Ti 0.000 0.500 0.000
As 0.500 0.500 0.500
Bi 0.000 0.000 0.000


| no. | magnetization (μB per formula unit) | V (Å³/f.u.) | uncorrected energy (eV/atom) |
| --- | --- | --- | --- |
| 1 | 0.00 | 99 | -4.355 |
| 2 | 0.00 | 123 | -3.236 |
| 3 | 0.00 | 168 | -3.948 |
| 4 | 0.00 | 129 | -3.253 |
| 5 | 0.00 | 184 | -2.749 |
| 6 | 0.00 | 145 | -3.447 |